First-principles (PBE) data for TlTeMoOs2 after structural relaxation, as listed in Alexandria via LeMat-Bulk.

Cell and atoms, written as POSCAR:
```
TlTeMoOs2
1.0
-4.760 -0.771 -0.013
0.179 -1.014 -5.192
0.754 -4.670 0.938
Te Mo Tl Os
1 1 1 2
Direct
0.000 0.500 0.000
0.000 0.000 0.000
0.500 0.500 0.500
0.500 0.000 0.000
0.000 0.000 0.500
```

## Properties
formation energy without anion corrections = 8.1 eV per formula unit
final energy = -30.71 eV/cell

***

First-principles (PBE) data for V2TeMoOs after structural relaxation, as listed in Alexandria via LeMat-Bulk.

Cell and atoms, written as POSCAR:
```
V2TeMoOs
1.0
-2.306 -3.598 -1.261
2.208 -2.683 3.616
-3.269 1.107 2.818
Mo V Te Os
1 2 1 1
Direct
0.000 0.000 0.000
0.500 0.000 0.000
0.000 0.000 0.500
0.000 0.500 0.000
0.500 0.500 0.500
```

## Properties
formation energy without anion corrections = 8.7 eV per formula unit
final energy = -34.72 eV/cell

***

First-principles (PBE) data for Zn2TeMoOs after structural relaxation, as listed in Alexandria via LeMat-Bulk.

Cell and atoms, written as POSCAR:
```
Zn2TeMoOs
1.0
4.841 0.000 0.000
0.000 5.008 0.000
0.000 0.000 4.841
Zn Mo Te Os
2 1 1 1
Direct
0.000 0.000 0.500
0.500 0.000 0.000
0.000 0.000 0.000
0.000 0.500 0.000
0.500 0.500 0.500
```

## Properties
formation energy without anion corrections = 8.4 eV per formula unit
distance to the lowest polymorph of the same formula = 842 meV/atom
final energy = -19.31 eV/cell

***

First-principles (PBE) data for Zn2TeMoOs after structural relaxation, as listed in Alexandria via LeMat-Bulk.

Cell and atoms, written as POSCAR:
```
Zn2TeMoOs
1.0
4.842 0.000 0.000
0.000 4.801 0.000
0.000 0.000 4.842
Zn Te Os Mo
2 1 1 1
Direct
0.000 0.000 0.500
0.500 0.000 0.000
0.500 0.500 0.500
0.000 0.000 0.000
0.000 0.500 0.000
```

## Properties
formation energy without anion corrections = 4.2 eV per formula unit
distance to the lowest polymorph of the same formula = 0 meV/atom
final energy = -23.52 eV/cell

***

First-principles (PBE) data for ThMoOs2 after structural relaxation, as listed in Alexandria via LeMat-Bulk.

Cell and atoms, written as POSCAR:
```
ThMoOs2
1.0
-0.569 0.443 4.208
-3.477 -1.629 1.867
1.191 -4.883 2.840
Os Mo Th
2 1 1
Direct
0.286 0.286 0.142
0.714 0.714 0.858
0.000 0.000 0.000
0.500 0.500 0.500
```

## Properties
final energy = -40.18 eV/cell
energy relative to the elements = 0.13 eV per atom

***

First-principles (PBE) data for TiMo3Os after structural relaxation, as listed in Alexandria via LeMat-Bulk.

Cell and atoms, written as POSCAR:
```
TiMo3Os
1.0
4.715 0.000 0.000
0.000 4.715 0.000
0.000 0.000 4.715
Ti Os Mo
1 1 3
Direct
0.500 0.500 0.500
0.000 0.000 0.000
0.000 0.000 0.500
0.500 0.000 0.000
0.000 0.500 0.000
```

## Properties
distance to the lowest polymorph of the same formula = 0 meV/atom
final energy = -44.22 eV/cell
energy relative to the elements = 1.48 eV per atom

***

First-principles (PBE) data for Ti6Mo5Os after structural relaxation, as listed in Alexandria via LeMat-Bulk.

Cell and atoms, written as POSCAR:
```
Ti6Mo5Os
1.0
-2.161 0.937 3.770
-2.970 -5.578 -0.316
5.999 -3.286 1.627
Ti Mo Os
6 5 1
Direct
0.836 0.752 0.672
0.164 0.248 0.328
0.500 0.246 0.000
0.836 0.248 0.672
0.164 0.752 0.328
0.500 0.754 0.000
0.333 0.500 0.666
0.667 0.500 0.334
0.669 0.000 0.338
0.331 0.000 0.662
0.000 0.500 0.000
0.000 0.000 0.000
```

## Properties
final energy = -114.82 eV/cell
energy relative to the elements = -0.17 eV per atom

***

First-principles (PBE) data for TiMoOs2 after structural relaxation, as listed in Alexandria via LeMat-Bulk.

Cell and atoms, written as POSCAR:
```
TiMoOs2
1.0
-5.796 2.090 3.572
-2.617 -6.613 -0.377
-3.038 -2.852 3.840
Os Ti Mo
4 2 2
Direct
0.635 0.125 0.250
0.115 0.625 0.250
0.875 0.885 0.750
0.375 0.365 0.750
0.250 0.750 0.500
0.500 0.500 0.000
0.750 0.250 0.500
0.000 0.000 0.000
```

## Properties
final energy = -78.15 eV/cell
energy relative to the elements = 0.53 eV per atom

***

First-principles (PBE) data for TiMoOs3 after structural relaxation, as listed in Alexandria via LeMat-Bulk.

Cell and atoms, written as POSCAR:
```
TiMoOs3
1.0
4.466 0.000 0.000
0.000 4.466 0.000
0.000 0.000 4.466
Os Mo Ti
3 1 1
Direct
0.500 0.000 0.000
0.000 0.000 0.500
0.000 0.500 0.000
0.500 0.500 0.500
0.000 0.000 0.000
```

## Properties
distance to the lowest polymorph of the same formula = 0 meV/atom
final energy = -43.39 eV/cell
energy relative to the elements = 1.81 eV per atom

***

First-principles (PBE) data for TiMoOs2 after structural relaxation, as listed in Alexandria via LeMat-Bulk.

Cell and atoms, written as POSCAR:
```
TiMoOs2
1.0
-1.067 -2.714 -0.735
2.313 -1.294 1.421
-3.521 -0.134 5.606
Os Ti Mo
2 1 1
Direct
0.000 0.000 0.765
0.000 0.000 0.235
0.500 0.500 0.000
0.500 0.500 0.500
```

## Properties
final energy = -42.10 eV/cell
energy relative to the elements = -0.23 eV per atom

***

First-principles (PBE) data for Ti8Mo2Os after structural relaxation, as listed in Alexandria via LeMat-Bulk.

Cell and atoms, written as POSCAR:
```
Ti8Mo2Os
1.0
4.571 0.000 0.000
0.000 5.167 0.799
-2.286 -1.377 7.349
Ti Mo Os
8 2 1
Direct
0.858 0.772 0.715
0.046 0.741 0.091
0.142 0.228 0.285
0.677 0.930 0.355
0.323 0.070 0.645
0.586 0.435 0.171
0.954 0.259 0.909
0.414 0.565 0.829
0.770 0.352 0.541
0.230 0.648 0.459
0.500 0.000 0.000
```

## Properties
final energy = -98.08 eV/cell
energy relative to the elements = -0.18 eV per atom

***

First-principles (PBE) data for TiMo2Os after structural relaxation, as listed in Alexandria via LeMat-Bulk.

Cell and atoms, written as POSCAR:
```
TiMo2Os
1.0
3.375 -2.831 -0.429
3.003 -0.369 3.230
0.144 -3.663 2.479
Mo Ti Os
2 1 1
Direct
0.250 0.250 0.250
0.750 0.750 0.750
0.000 0.000 0.000
0.500 0.500 0.500
```

## Properties
distance to the lowest polymorph of the same formula = 0 meV/atom
final energy = -41.26 eV/cell
energy relative to the elements = -0.12 eV per atom

***

First-principles (PBE) data for Ti4MoOs2 after structural relaxation, as listed in Alexandria via LeMat-Bulk.

Cell and atoms, written as POSCAR:
```
Ti4MoOs2
1.0
5.040 0.036 -1.752
-2.502 4.342 -1.832
0.021 -0.036 5.335
Ti Os Mo
4 2 1
Direct
0.000 0.500 0.000
0.500 0.000 0.000
0.500 0.500 0.500
0.000 0.000 0.500
0.500 0.000 0.500
0.500 0.500 0.000
0.000 0.000 0.000
```

## Properties
final energy = -66.55 eV/cell
energy relative to the elements = -0.24 eV per atom

***

First-principles (PBE) data for Ti3MoOs after structural relaxation, as listed in Alexandria via LeMat-Bulk.

Cell and atoms, written as POSCAR:
```
Ti3MoOs
1.0
4.682 0.000 0.000
0.000 4.682 0.000
0.000 0.000 4.682
Ti Mo Os
3 1 1
Direct
0.500 0.000 0.000
0.000 0.500 0.000
0.000 0.000 0.500
0.500 0.500 0.500
0.000 0.000 0.000
```

## Properties
distance to the lowest polymorph of the same formula = 1191 meV/atom
final energy = -41.51 eV/cell
energy relative to the elements = 0.85 eV per atom

***

First-principles (PBE) data for Ti4MoOs3 after structural relaxation, as listed in Alexandria via LeMat-Bulk.

Cell and atoms, written as POSCAR:
```
Ti4MoOs3
1.0
-2.195 -1.404 -1.647
1.247 -3.882 1.648
-5.684 1.021 6.707
Ti Os Mo
4 3 1
Direct
0.000 0.000 0.500
0.000 0.000 0.000
0.000 0.500 0.253
0.000 0.500 0.747
0.500 0.000 0.253
0.500 0.500 0.500
0.500 0.000 0.747
0.500 0.500 0.000
```

## Properties
final energy = -80.60 eV/cell
energy relative to the elements = -0.56 eV per atom

***

First-principles (PBE) data for Ti6MoOs5 after structural relaxation, as listed in Alexandria via LeMat-Bulk.

Cell and atoms, written as POSCAR:
```
Ti6MoOs5
1.0
4.212 0.019 -1.226
-0.851 5.447 -2.836
-0.069 0.410 7.583
Ti Os Mo
6 5 1
Direct
0.833 0.083 0.667
0.167 0.416 0.333
0.167 0.917 0.333
0.833 0.584 0.667
0.500 0.750 0.000
0.500 0.250 0.000
0.000 0.500 0.000
0.332 0.832 0.664
0.333 0.333 0.667
0.667 0.667 0.333
0.668 0.168 0.336
0.000 0.000 0.000
```

## Properties
final energy = -121.78 eV/cell
energy relative to the elements = -0.62 eV per atom

***

First-principles (PBE) data for Ti5MoOs4 after structural relaxation, as listed in Alexandria via LeMat-Bulk.

Cell and atoms, written as POSCAR:
```
Ti5MoOs4
1.0
-0.055 0.540 -3.045
2.697 -1.483 -0.312
-7.667 -13.468 -2.252
Ti Os Mo
5 4 1
Direct
0.500 0.500 0.698
0.500 0.500 0.500
0.500 0.500 0.302
0.500 0.500 0.896
0.500 0.500 0.104
0.000 0.000 0.401
0.000 0.000 0.796
0.000 0.000 0.599
0.000 0.000 0.204
0.000 0.000 0.000
```

## Properties
final energy = -101.11 eV/cell
energy relative to the elements = -0.59 eV per atom

***

First-principles (PBE) data for Ti3MoOs after structural relaxation, as listed in Alexandria via LeMat-Bulk.

Cell and atoms, written as POSCAR:
```
Ti3MoOs
1.0
-4.152 -0.348 1.632
-0.426 -4.003 -1.939
4.911 -3.265 5.663
Ti Os Mo
6 2 2
Direct
0.453 0.844 0.188
0.072 0.844 0.426
0.953 0.344 0.189
0.263 0.844 0.807
0.573 0.344 0.427
0.763 0.344 0.807
0.363 0.344 0.008
0.662 0.844 0.606
0.160 0.344 0.602
0.865 0.844 0.013
```

## Properties
distance to the lowest polymorph of the same formula = 0 meV/atom
final energy = -94.92 eV/cell
energy relative to the elements = -0.34 eV per atom

***

First-principles (PBE) data for Ti4MoOs after structural relaxation, as listed in Alexandria via LeMat-Bulk.

Cell and atoms, written as POSCAR:
```
Ti4MoOs
1.0
-1.668 2.438 -3.087
-2.646 -1.714 -2.880
-6.943 1.743 2.172
Ti Os Mo
4 1 1
Direct
0.626 0.626 0.123
0.876 0.876 0.373
0.374 0.374 0.877
0.124 0.124 0.627
0.000 0.000 0.000
0.500 0.500 0.500
```

## Properties
distance to the lowest polymorph of the same formula = 0 meV/atom
final energy = -52.64 eV/cell
energy relative to the elements = 0.17 eV per atom

***

First-principles (PBE) data for Ti4MoOs after structural relaxation, as listed in Alexandria via LeMat-Bulk.

Cell and atoms, written as POSCAR:
```
Ti4MoOs
1.0
4.238 0.000 0.000
0.000 8.984 0.000
0.000 0.000 5.949
Ti Mo Os
8 2 2
Direct
0.015 0.633 0.747
0.985 0.633 0.253
0.015 0.133 0.753
0.517 0.367 0.750
0.483 0.867 0.250
0.985 0.133 0.247
0.517 0.867 0.750
0.483 0.367 0.250
0.000 0.380 0.500
0.000 0.880 0.000
0.500 0.121 0.000
0.500 0.621 0.500
```

## Properties
distance to the lowest polymorph of the same formula = 26 meV/atom
final energy = -104.98 eV/cell
energy relative to the elements = 0.19 eV per atom